Here is Ba3Li8In after structural relaxation from the Alexandria database. Energies are from PBE.

Calculated values
**Spin magnetization**: 0.3 μB/cell
**Formation enthalpy at 0 K**: -0.0252 eV per atom
**Space-group type**: R3m

a b c (Å): 6.193 6.193 11.195
angles (deg): 73.94 73.94 60.00
Element x y z (fractional)
Li  0.941  0.429  0.202
Li  0.939  0.939  0.669
Li  0.684  0.684  0.947
Li  0.429  0.429  0.202
Li  0.190  0.190  0.429
Li  0.939  0.453  0.669
Li  0.453  0.939  0.669
Li  0.429  0.941  0.202
Ba  0.508  0.508  0.475
Ba  0.989  0.989  0.034
Ba  0.377  0.377  0.868
In  0.872  0.872  0.383

=====

Here is Ba2LiIn2 after structural relaxation from the Alexandria database. Energies are from PBE.

Calculated values
**Spin magnetization**: 0.0 μB/cell
**Formation enthalpy at 0 K**: -0.1386 eV per atom
**Relative energy among the computed polymorphs**: 0.193 eV/atom
**Space-group type**: I4/mmm

a b c (Å): 6.928 6.928 6.517
angles (deg): 57.89 57.89 90.00
Element x y z (fractional)
In  0.339  0.339  0.322
In  0.661  0.661  0.678
Li  0.000  0.000  0.000
Ba  0.250  0.750  0.500
Ba  0.750  0.250  0.500

=====

Here is Ba2LiIn2 after structural relaxation from the Alexandria database. Energies are from PBE.

Calculated values
**Spin magnetization**: 0.0 μB/cell
**Formation enthalpy at 0 K**: -0.1107 eV per atom
**Relative energy among the computed polymorphs**: 0.221 eV/atom
**Space-group type**: P4/mbm

a b c (Å): 10.149 10.149 3.787
angles (deg): 90.00 90.00 90.00
Element x y z (fractional)
Ba  0.682  0.182  0.000
Ba  0.818  0.682  0.000
Ba  0.182  0.318  0.000
Ba  0.318  0.818  0.000
Li  0.000  0.000  0.000
Li  0.500  0.500  0.000
In  0.388  0.112  0.500
In  0.112  0.612  0.500
In  0.888  0.388  0.500
In  0.612  0.888  0.500